An optimized crystal structure of Zn2FePt8, computed with PBE.

Geometry as extended XYZ:
```
11
Lattice="-0.357 -0.882 -3.851 -3.148 -5.161 1.473 -4.603 5.527 1.204" Properties=species:S:1:pos:R:3 pbc="T T T"
Fe -0.178 -0.441 -1.926
Pt -4.783 -3.351 -0.832
Pt -3.325 2.836 -0.341
Pt -6.193 -0.952 -1.251
Pt -1.915 0.436 0.077
Pt -5.599 1.280 0.226
Pt -2.725 -3.294 1.007
Pt -5.382 2.778 -2.180
Pt -2.509 -1.796 -1.399
Zn -3.933 0.508 -1.795
Zn -4.174 -1.023 0.621
```

Calculated values
Crystal system: monoclinic
Energy above the most stable polymorph in this dataset in meV per atom: 0
Magnetic moment in μB/f.u.: 4.022
Space group: C2/m, No. 12
Energy relative to the elements in meV per atom: -275.0

***

An optimized crystal structure of LiZn3, computed with PBE.

Geometry as extended XYZ:
```
4
Lattice="5.198 -0.008 -0.028 -2.373 4.625 -0.028 -2.373 -3.878 2.519" Properties=species:S:1:pos:R:3 pbc="T T T"
Zn 1.412 -1.943 1.245
Zn -2.373 0.373 1.245
Zn 1.412 2.308 -0.028
Li 0.000 0.000 0.000
```

Calculated values
Crystal system: trigonal
Magnetic moment in μB/f.u.: 0.000
Space group: R-3m, No. 166
Energy relative to the elements in meV per atom: -119.1

***

An optimized crystal structure of K2NiI2, computed with PBE.

Geometry as extended XYZ:
```
5
Lattice="6.979 0.000 0.000 0.000 6.979 0.000 3.489 3.489 4.540" Properties=species:S:1:pos:R:3 pbc="T T T"
K 3.489 6.979 2.270
K 6.979 3.489 2.270
Ni 0.000 0.000 0.000
I 3.489 3.489 2.150
I 6.979 6.979 2.390
```

Calculated values
Energy relative to the elements, uncorrected in eV/f.u.: -3.2
Crystal system: tetragonal
Energy above the most stable polymorph in this dataset in meV per atom: 0
Magnetic moment in μB/f.u.: 0.104
Space group: I4/mmm, No. 139

***

An optimized crystal structure of Na3Tm3MoS8, computed with PBE.

Geometry as extended XYZ:
```
15
Lattice="7.667 0.000 0.000 -3.834 6.640 -0.025 0.000 -4.403 6.792" Properties=species:S:1:pos:R:3 pbc="T T T"
S 0.000 -0.132 4.823
S 1.787 -1.175 1.958
S 3.834 0.018 4.915
S 0.000 2.219 1.853
S -2.047 3.412 4.809
S 2.047 3.412 4.809
S 3.834 2.369 1.945
S 5.880 -1.175 1.958
Na 1.917 3.320 -0.012
Na -1.917 3.320 -0.012
Na 0.000 0.000 0.000
Tm -1.917 1.118 3.384
Tm 1.917 1.118 3.384
Tm 3.834 -2.202 3.396
Mo 0.000 -2.202 3.396
```

Calculated values
Energy relative to the elements, uncorrected in eV/f.u.: -22.9
Crystal system: trigonal
Magnetic moment in μB/f.u.: 2.000
Space group: R-3m, No. 166

***

An optimized crystal structure of CaDyHo6, computed with PBE.

Geometry as extended XYZ:
```
8
Lattice="-5.207 3.776 -1.993 -3.042 -5.186 -2.735 -6.291 -0.574 3.276" Properties=species:S:1:pos:R:3 pbc="T T T"
Ho -8.468 -1.890 -1.362
Ho -6.072 -0.093 -0.091
Ho -3.164 0.393 -1.580
Ho -5.831 -3.867 -0.687
Ho -11.376 -2.377 0.128
Ho -8.709 1.884 -0.766
Dy -1.521 -2.593 -1.368
Ca 0.000 0.000 0.000
```

Calculated values
Crystal system: triclinic
Magnetic moment in μB/f.u.: 0.000
Space group: P-1, No. 2
Energy relative to the elements in meV per atom: 232.1

***

An optimized crystal structure of Si4IrPt2, computed with PBE.

Geometry as extended XYZ:
```
28
Lattice="-2.112 -1.901 -0.009 7.307 -8.151 7.048 -4.397 4.836 10.152" Properties=species:S:1:pos:R:3 pbc="T T T"
Pt -3.662 2.957 10.257
Pt 1.557 -4.981 13.595
Pt 4.459 -8.173 6.934
Pt -0.714 -2.426 6.918
Pt -0.760 -0.235 3.595
Pt -2.232 -0.756 10.386
Pt 1.511 -2.790 10.272
Pt 3.030 -4.460 6.805
Ir 1.834 -3.116 3.487
Ir -3.231 0.371 6.812
Ir 4.029 -5.587 10.378
Ir -1.036 -2.100 13.704
Si 1.266 -2.529 12.733
Si 1.849 -5.262 4.757
Si 1.558 -2.829 7.793
Si -3.116 0.255 4.260
Si -0.468 -2.687 4.457
Si 3.057 -6.621 8.278
Si -0.760 -2.386 9.397
Si 1.701 -5.128 11.122
Si -0.760 -0.223 1.186
Si -2.259 1.405 8.912
Si -3.684 0.852 11.597
Si 1.558 -4.993 16.004
Si -0.903 -0.087 6.068
Si 4.482 -6.068 5.594
Si 3.913 -5.471 12.931
Si -1.051 0.046 12.434
```

Calculated values
Energy relative to the elements, uncorrected in eV/f.u.: -3.1
Crystal system: orthorhombic
Magnetic moment in μB/f.u.: 0.000
Space group: Pnma, No. 62

***

Number 3 is which compound? K2NiI2